Computed, not measured: crystalline Sm5Ag2Sn at its relaxed geometry at the PBE-GGA level of DFT.

The space group is I4/mcm (No. 140) and the conventional cell measures 8.2490, 8.2490 and 13.4947 Å, with angles of 90.00, 90.00 and 90.00 degrees. The distinct sites, in fractional coordinates, are Sm at (0.0000, 0.0000, 0.0000), Sm at (0.1563, 0.3437, 0.1490), Ag at (0.1317, 0.3683, 0.5000) and Sn at (0.0000, 0.0000, 0.2500).

The total magnetic moment is 0.0 μB per cell. The calculation puts the uncorrected energy at -4.5006 eV/atom. As for the formation energy from the elements: -338 meV per atom.